[1]
{"formula": "Ta4HgSb", "functional": "PBE", "state": "relaxed", "cell": [[0.000, 3.939, 3.939], [3.939, 0.000, 3.939], [3.939, 3.939, 0.000]], "species": ["Hg", "Sb", "Ta", "Ta", "Ta", "Ta"], "frac_coords": [[0.750, 0.750, 0.750], [0.000, 0.000, 0.000], [0.376, 0.873, 0.376], [0.376, 0.376, 0.376], [0.376, 0.376, 0.873], [0.873, 0.376, 0.376]], "volume_a3_per_atom": 20.4}

***

[2]
{"formula": "TaHgSb2", "functional": "PBE", "state": "relaxed", "cell": [[-2.377, -2.056, -0.168], [2.585, -1.780, -0.237], [0.216, -1.140, 10.918]], "species": ["Sb", "Sb", "Hg", "Ta"], "frac_coords": [[0.000, 0.000, 0.056], [0.000, 0.000, 0.444], [0.500, 0.500, 0.750], [0.500, 0.500, 0.250]], "volume_a3_per_atom": 26.3}

***

[3]
{"formula": "Ta2HgSb", "functional": "PBE", "state": "relaxed", "cell": [[3.644, 0.000, 0.000], [0.000, 3.643, 0.000], [0.000, 0.000, 6.137]], "species": ["Ta", "Ta", "Hg", "Sb"], "frac_coords": [[0.500, 0.500, 0.230], [0.000, 0.000, 0.020], [0.000, 0.000, 0.490], [0.500, 0.500, 0.760]], "de_polymorph_ev_per_atom": 0.0426, "volume_a3_per_atom": 20.4}

***

Total moment for every record listed, in sequence, given in μB per atom: 0.00, 0.00, 0.00.
Uncorrected formation energy for every record listed, in sequence, given in eV per atom: 0.495, 0.074, 0.240.